[1]
VASP calculation (GGA-PBE) on an optimized crystal structure of Tb2Tm3Th2.

Properties
Calculated formation energy ... 0.2 eV per formula unit
DFT total energy ... -37.3 eV per cell
Total moment ... 0.00 μB per formula unit

abc: 3.5543 13.6149 6.1302
angles: 53.41 73.14 66.93
With the nearest neighbours (Å) after each atom.
Positions (direct):
Tb1 0.8638 0.8510 0.7196  3 Th 3.47-3.53, 5 Tm 3.49-3.57, 4 Tb 3.55-3.63
Tb2 0.1362 0.1490 0.2804  3 Th 3.47-3.53, 5 Tm 3.49-3.57, 4 Tb 3.55-3.63
Tm1 0.5739 0.5686 0.1452  5 Tm 3.49-3.55, 2 Tb 3.49-3.50, 5 Th 3.52-3.61
Tm2 0.0000 0.0000 0.0000  4 Th 3.50, 2 Tm 3.55, 6 Tb 3.56-3.57
Tm3 0.4261 0.4314 0.8548  5 Tm 3.49-3.55, 2 Tb 3.49-3.50, 5 Th 3.52-3.61
Th1 0.2828 0.2835 0.5831  3 Tb 3.47-3.53, 7 Tm 3.50-3.61, 2 Th 3.55
Th2 0.7172 0.7165 0.4169  3 Tb 3.47-3.53, 7 Tm 3.50-3.61, 2 Th 3.55

[2]
VASP calculation (GGA-PBE) on an optimized crystal structure of Cd2PtPb.

Properties
Calculated formation energy ... -0.3 eV per formula unit
DFT total energy ... -11.9 eV per cell
Total moment ... 0.00 μB per formula unit

abc: 4.1402 3.8704 6.1160
angles: 68.89 90.00 90.00
With the nearest neighbours (Å) after each atom.
Positions (direct):
Cd1 0.5000 0.2227 0.1930  2 Pt 2.93-3.26, 4 Cd 2.96-3.00
Cd2 0.0000 0.8052 0.0328  2 Pt 2.79, 4 Cd 2.96-3.00, 1 Pb 3.05
Pt1 0.5000 0.9403 0.7068  3 Cd 2.79-2.93, 4 Pb 2.91-2.97
Pb1 0.0000 0.5318 0.5674  4 Pt 2.91-2.97, 2 Cd 3.05-3.20

[3]
VASP calculation (GGA-PBE) on an optimized crystal structure of ZnNiPd3.

Properties
Calculated formation energy ... -1.1 eV per formula unit
DFT total energy ... -47.5 eV per cell
Total moment ... 0.97 μB per formula unit

abc: 2.8371 6.9742 7.5316
angles: 103.13 79.22 89.98
With the nearest neighbours (Å) after each atom.
Positions (direct):
Zn1 0.5388 0.3159 0.1774  9 Pd 2.62-2.73, 2 Zn 2.84
Zn2 0.5058 0.8382 0.2441  9 Pd 2.62-2.73, 2 Zn 2.84
Pd1 0.1225 0.9912 0.0103  4 Zn 2.64-2.72, 2 Ni 2.65, 6 Pd 2.84-2.93
Pd2 0.3234 0.9203 0.6077  2 Ni 2.58, 1 Zn 2.62, 8 Pd 2.75-2.85
Pd3 0.1204 0.5647 0.0147  3 Ni 2.61-2.73, 4 Zn 2.65-2.73, 5 Pd 2.82-2.87
Pd4 0.9236 0.5894 0.4069  3 Ni 2.61-2.73, 4 Zn 2.65-2.73, 5 Pd 2.82-2.87
Pd5 0.9216 0.1629 0.4112  4 Zn 2.64-2.72, 2 Ni 2.65, 6 Pd 2.84-2.93
Pd6 0.7204 0.2339 0.8139  2 Ni 2.58, 1 Zn 2.62, 8 Pd 2.75-2.85
Ni1 0.3084 0.4393 0.6370  2 Ni 2.43, 6 Pd 2.58-2.65
Ni2 0.7350 0.7145 0.7845  2 Ni 2.43, 6 Pd 2.58-2.65

[4]
VASP calculation (GGA-PBE) on an optimized crystal structure of AlCd5.

Properties
Calculated formation energy ... 1.1 eV per formula unit
DFT total energy ... -7.2 eV per cell
Total moment ... 0.00 μB per formula unit

abc: 5.8323 5.8323 5.8323
angles: 60.00 60.00 60.00
With the nearest neighbours (Å) after each atom.
Positions (direct):
Cd1 0.6250 0.6250 0.1249  6 Cd 2.92
Cd2 0.1249 0.6250 0.6250  6 Cd 2.92
Cd3 0.6250 0.6250 0.6250  6 Cd 2.92
Cd4 0.2500 0.2500 0.2500  12 Cd 3.42, 4 Al 3.57
Cd5 0.6250 0.1249 0.6250  6 Cd 2.92
Al1 0.0000 0.0000 0.0000  16 Cd 3.42-3.57

[5]
VASP calculation (GGA-PBE) on an optimized crystal structure of Tb2SmY3Te6.

Properties
Uncorrected formation energy ... -1.323 eV/atom
DFT total energy ... -68.1 eV per cell
Total moment ... 0.00 μB per formula unit

abc: 4.3613 8.8052 9.7909
angles: 102.92 102.87 90.00
With the nearest neighbours (Å) after each atom.
Positions (direct):
Te1 0.3306 0.9159 0.6613  3 Y 3.09, 2 Tb 3.09, 1 Sm 3.15
Te2 0.6673 0.5838 0.3345  3 Y 3.11, 3 Tb 3.11
Te3 0.9997 0.7451 0.9995  3 Y 3.06-3.07, 1 Tb 3.06, 2 Sm 3.13
Te4 0.6694 0.0841 0.3387  3 Y 3.09, 2 Tb 3.09, 1 Sm 3.15
Te5 0.0003 0.2549 0.0005  3 Y 3.06-3.07, 1 Tb 3.06, 2 Sm 3.13
Te6 0.3327 0.4162 0.6655  3 Y 3.11, 3 Tb 3.11
Tb1 0.8348 0.6691 0.6696  6 Te 3.06-3.11
Tb2 0.1652 0.3309 0.3304  6 Te 3.06-3.11
Sm1 0.5000 0.0000 0.0000  6 Te 3.13-3.15
Y1 0.8357 0.1665 0.6714  6 Te 3.06-3.11
Y2 0.5000 0.5000 0.0000  6 Te 3.07-3.11
Y3 0.1643 0.8335 0.3286  6 Te 3.06-3.11

[6]
VASP calculation (GGA-PBE) on an optimized crystal structure of Y2LuC.

Properties
Calculated formation energy ... -0.2 eV per formula unit
DFT total energy ... -26.9 eV per cell
Total moment ... 0.56 μB per formula unit

abc: 3.5444 3.5444 9.7078
angles: 79.48 79.48 60.00
With the nearest neighbours (Å) after each atom.
Positions (direct):
Y1 0.8807 0.8807 0.3580  3 C 2.45
Y2 0.1193 0.1193 0.6420  3 C 2.45
C1 0.5000 0.5000 0.5000  6 Y 2.45
Lu1 0.0000 0.0000 0.0000  2 Y 3.40, 6 Lu 3.54